(1)
{
  "formula": "Bi10IrSe10",
  "functional": "PBE",
  "state": "relaxed",
  "cell": [[11.949, 0.000, 0.000], [0.000, 12.731, 0.000], [0.000, 0.000, 8.381]],
  "species": ["Bi", "Bi", "Bi", "Bi", "Bi", "Bi", "Bi", "Bi", "Bi", "Bi", "Bi", "Bi", "Bi", "Bi", "Bi", "Bi", "Bi", "Bi", "Bi", "Bi", "Ir", "Ir", "Se", "Se", "Se", "Se", "Se", "Se", "Se", "Se", "Se", "Se", "Se", "Se", "Se", "Se", "Se", "Se", "Se", "Se", "Se", "Se"],
  "frac_coords": [[0.000, 0.000, 0.247], [0.000, 0.000, 0.753], [0.132, 0.410, 0.232], [0.132, 0.410, 0.768], [0.152, 0.668, 0.000], [0.227, 0.572, 0.500], [0.273, 0.072, 0.500], [0.348, 0.168, 0.000], [0.368, 0.910, 0.232], [0.368, 0.910, 0.768], [0.500, 0.500, 0.247], [0.500, 0.500, 0.753], [0.632, 0.090, 0.232], [0.632, 0.090, 0.768], [0.652, 0.832, 0.000], [0.727, 0.928, 0.500], [0.773, 0.428, 0.500], [0.848, 0.332, 0.000], [0.868, 0.590, 0.232], [0.868, 0.590, 0.768], [0.000, 0.500, 0.000], [0.500, 0.000, 0.000], [0.001, 0.344, 0.500], [0.119, 0.895, 0.500], [0.152, 0.902, 0.000], [0.170, 0.178, 0.227], [0.170, 0.178, 0.773], [0.330, 0.678, 0.227], [0.330, 0.678, 0.773], [0.348, 0.402, 0.000], [0.381, 0.395, 0.500], [0.499, 0.844, 0.500], [0.501, 0.156, 0.500], [0.619, 0.605, 0.500], [0.652, 0.598, 0.000], [0.670, 0.322, 0.227], [0.670, 0.322, 0.773], [0.830, 0.822, 0.227], [0.830, 0.822, 0.773], [0.848, 0.098, 0.000], [0.881, 0.105, 0.500], [0.999, 0.656, 0.500]],
  "dft_energy_ev_per_atom": -4.164,
  "total_magnetization_mub_per_fu": 0.0
}

***

(2)
{
  "formula": "BeZnSiPd",
  "functional": "PBE",
  "state": "relaxed",
  "cell": [[0.000, 2.965, 2.965], [2.965, 0.000, 2.965], [2.965, 2.965, 0.000]],
  "species": ["Be", "Zn", "Si", "Pd"],
  "frac_coords": [[0.000, 0.000, 0.000], [0.750, 0.750, 0.750], [0.500, 0.500, 0.500], [0.250, 0.250, 0.250]],
  "de_polymorph_ev_per_atom": 0.0000,
  "dft_energy_ev_per_atom": -3.908
}

***

(3)
{
  "formula": "Cs2NaTc3",
  "functional": "PBE",
  "state": "relaxed",
  "cell": [[5.118, 0.000, 0.000], [-2.559, 4.432, 0.000], [0.000, 0.000, 7.462]],
  "species": ["Cs", "Cs", "Na", "Tc", "Tc", "Tc"],
  "frac_coords": [[0.333, 0.667, 0.371], [0.667, 0.333, 0.629], [0.000, 0.000, 0.500], [0.000, 0.500, 0.000], [0.500, 0.000, 0.000], [0.500, 0.500, 0.000]],
  "dft_energy_ev_per_atom": -4.043,
  "total_magnetization_mub_per_fu": 0.4
}

***

(4)
{
  "formula": "DyLuPO",
  "functional": "PBE",
  "state": "relaxed",
  "cell": [[4.256, 0.000, 0.000], [0.000, 4.256, 0.000], [0.000, 0.000, 8.480]],
  "species": ["Dy", "Dy", "Lu", "Lu", "P", "P", "O", "O"],
  "frac_coords": [[0.250, 0.250, 0.107], [0.750, 0.750, 0.893], [0.250, 0.750, 0.500], [0.750, 0.250, 0.500], [0.250, 0.250, 0.691], [0.750, 0.750, 0.309], [0.250, 0.750, 0.000], [0.750, 0.250, 0.000]],
  "de_polymorph_ev_per_atom": 0.0766,
  "dft_energy_ev_per_atom": -6.831,
  "total_magnetization_mub_per_fu": 0.0
}

***

Repeat the first record exactly.
{
  "formula": "Bi10IrSe10",
  "functional": "PBE",
  "state": "relaxed",
  "cell": [[11.949, 0.000, 0.000], [0.000, 12.731, 0.000], [0.000, 0.000, 8.381]],
  "species": ["Bi", "Bi", "Bi", "Bi", "Bi", "Bi", "Bi", "Bi", "Bi", "Bi", "Bi", "Bi", "Bi", "Bi", "Bi", "Bi", "Bi", "Bi", "Bi", "Bi", "Ir", "Ir", "Se", "Se", "Se", "Se", "Se", "Se", "Se", "Se", "Se", "Se", "Se", "Se", "Se", "Se", "Se", "Se", "Se", "Se", "Se", "Se"],
  "frac_coords": [[0.000, 0.000, 0.247], [0.000, 0.000, 0.753], [0.132, 0.410, 0.232], [0.132, 0.410, 0.768], [0.152, 0.668, 0.000], [0.227, 0.572, 0.500], [0.273, 0.072, 0.500], [0.348, 0.168, 0.000], [0.368, 0.910, 0.232], [0.368, 0.910, 0.768], [0.500, 0.500, 0.247], [0.500, 0.500, 0.753], [0.632, 0.090, 0.232], [0.632, 0.090, 0.768], [0.652, 0.832, 0.000], [0.727, 0.928, 0.500], [0.773, 0.428, 0.500], [0.848, 0.332, 0.000], [0.868, 0.590, 0.232], [0.868, 0.590, 0.768], [0.000, 0.500, 0.000], [0.500, 0.000, 0.000], [0.001, 0.344, 0.500], [0.119, 0.895, 0.500], [0.152, 0.902, 0.000], [0.170, 0.178, 0.227], [0.170, 0.178, 0.773], [0.330, 0.678, 0.227], [0.330, 0.678, 0.773], [0.348, 0.402, 0.000], [0.381, 0.395, 0.500], [0.499, 0.844, 0.500], [0.501, 0.156, 0.500], [0.619, 0.605, 0.500], [0.652, 0.598, 0.000], [0.670, 0.322, 0.227], [0.670, 0.322, 0.773], [0.830, 0.822, 0.227], [0.830, 0.822, 0.773], [0.848, 0.098, 0.000], [0.881, 0.105, 0.500], [0.999, 0.656, 0.500]],
  "dft_energy_ev_per_atom": -4.164,
  "total_magnetization_mub_per_fu": 0.0
}